The following is a PBE with a Hubbard U calculation of crystalline MnPPtO2 at its relaxed geometry, from the Alexandria database.

Values from the calculation:
VASP energy: -28.6 eV/cell
N(E_F): 5.63 states/eV/f.u.

a b c (Å): 3.8672 3.8672 5.1575
angles (deg): 90.00 90.00 90.00
Sites, in units of the cell vectors:
Mn1 0.0000 0.0000 0.0000
P1 0.5000 0.5000 0.0000
Pt1 0.5000 0.5000 0.5000
O1 0.0000 0.5000 0.5000
O2 0.5000 0.0000 0.5000